DFT (PBE) results for a geometry-optimized HfMgSe2 structure.

Lattice parameters (Å, degrees): 3.6080 3.6080 7.6553 76.37 76.37 60.00
Last column: nearest neighbours and their distance in Å.
Sites, in units of the cell vectors:
Hf: 0.6661 0.6661 0.0017  6 Se 2.73-2.74
Mg: 0.5009 0.5009 0.4973  6 Se 2.81-2.84
Se: 0.0801 0.0801 0.7597  3 Hf 2.74, 3 Mg 2.84
Se: 0.2529 0.2529 0.2413  3 Hf 2.73, 3 Mg 2.81

## Properties
Energy above the most stable polymorph in this dataset   0.0 meV per atom
Calculated density   7.21 g/cm³
Total magnetic moment   0.00 μB/atom
Energy relative to the elements, uncorrected   -983 meV per atom